The following is a SCAN calculation of CuNiSb2 at its PBEsol-relaxed geometry, from the Alexandria database.

Properties
Total magnetization in μB/atom: 0.000
ΔE to the lowest computed polymorph in meV/atom: 480
ρ in Mg/m³: 8.69
ΔE_f (raw) in eV/atom: 0.307
Total energy in eV/atom: -26.17
Symmetry: I4/mmm (139)

```
CuNiSb2
1.0
4.444 0.000 0.000
-2.222 4.179 0.009
0.000 2.354 3.769
Cu Ni Sb
1 1 2
Cartesian
2.222 1.177 1.884
0.000 0.000 0.000
0.000 2.678 0.947
2.222 3.855 2.831
```